[1]
Entry from Alexandria via LeMat-Bulk: an optimized crystal structure of Al7Cu2Pd2 (GGA-PBE).

Cell: 5.685 5.861 5.685 Å, 90.01 100.13 89.99°
Element x y z (fractional)
Al 0.000 0.268 0.500
Al 0.500 0.732 0.000
Al 0.000 0.732 0.500
Al 0.500 0.268 0.000
Al 0.000 0.000 0.000
Al 0.500 0.742 0.500
Al 0.500 0.258 0.500
Cu 0.723 0.000 0.277
Cu 0.277 0.000 0.723
Pd 0.798 0.500 0.798
Pd 0.202 0.500 0.202

Summary:
- Uncorrected energy: -4.31 eV per atom
- E_form: -2.61 eV per formula unit
- Symmetry: Cmmm
- Density: 4710 kg/m3

[2]
Entry from Alexandria via LeMat-Bulk: an optimized crystal structure of Al2Cu5Pd (GGA-PBE).

Cell: 3.779 5.226 10.493 Å, 90.00 90.00 90.00°
Element x y z (fractional)
Al 0.500 0.237 0.623
Al 0.500 0.763 0.377
Al 0.500 0.263 0.123
Al 0.500 0.737 0.877
Cu 0.000 0.000 0.000
Cu 0.000 0.500 0.500
Cu 0.000 0.484 0.744
Cu 0.000 0.516 0.256
Cu 0.000 0.016 0.244
Cu 0.000 0.984 0.756
Cu 0.500 0.234 0.868
Cu 0.500 0.766 0.132
Cu 0.500 0.266 0.368
Cu 0.500 0.734 0.632
Pd 0.000 0.000 0.500
Pd 0.000 0.500 0.000

Summary:
- Uncorrected energy: -4.44 eV per atom
- E_form: -2.35 eV per formula unit
- Symmetry: Pbam
- Density: 7663 kg/m3

[3]
Entry from Alexandria via LeMat-Bulk: an optimized crystal structure of AlCu2Pd6 (GGA-PBE).

Cell: 4.088 5.608 6.422 Å, 83.34 71.44 68.63°
Element x y z (fractional)
Al 0.000 0.500 0.500
Cu 0.327 0.500 0.845
Cu 0.673 0.500 0.155
Pd 0.993 0.186 0.827
Pd 0.321 0.186 0.173
Pd 0.679 0.814 0.827
Pd 0.348 0.803 0.500
Pd 0.652 0.197 0.500
Pd 0.007 0.814 0.173

Summary:
- Uncorrected energy: -5.15 eV per atom
- E_form: -3.22 eV per formula unit
- Symmetry: Fmmm
- Density: 10127 kg/m3

[4]
Entry from Alexandria via LeMat-Bulk: an optimized crystal structure of Al4Cu2Pd (GGA-PBE).

Cell: 5.162 5.162 5.162 Å, 109.51 109.45 109.45°
Element x y z (fractional)
Pd 0.000 0.000 0.000
Al 0.500 0.000 0.000
Al 0.500 0.500 0.500
Al 0.000 0.000 0.500
Al 0.000 0.500 0.000
Cu 0.500 0.500 0.000
Cu 0.500 0.000 0.500

Summary:
- Uncorrected energy: -4.39 eV per atom
- E_form: -2.34 eV per formula unit
- Symmetry: I4/mmm
- Density: 5353 kg/m3

[5]
Entry from Alexandria via LeMat-Bulk: an optimized crystal structure of Al2CuPd6 (GGA-PBE).

Cell: 4.115 5.572 6.496 Å, 83.29 71.54 68.33°
Element x y z (fractional)
Al 0.341 0.500 0.818
Al 0.659 0.500 0.182
Cu 0.000 0.500 0.500
Pd 0.981 0.199 0.839
Pd 0.320 0.199 0.161
Pd 0.680 0.801 0.839
Pd 0.343 0.814 0.500
Pd 0.657 0.186 0.500
Pd 0.019 0.801 0.161

Summary:
- Uncorrected energy: -5.35 eV per atom
- E_form: -5.37 eV per formula unit
- Symmetry: Fmmm
- Density: 9563 kg/m3

[6]
Entry from Alexandria via LeMat-Bulk: an optimized crystal structure of AlCu3Pd12 (GGA-PBE).

Cell: 3.900 3.900 15.522 Å, 90.00 90.00 90.00°
Element x y z (fractional)
Al 0.000 0.000 0.000
Cu 0.000 0.000 0.250
Cu 0.000 0.000 0.500
Cu 0.000 0.000 0.750
Pd 0.500 0.500 0.000
Pd 0.500 0.500 0.250
Pd 0.500 0.500 0.500
Pd 0.500 0.500 0.750
Pd 0.500 0.000 0.125
Pd 0.500 0.000 0.375
Pd 0.500 0.000 0.625
Pd 0.500 0.000 0.875
Pd 0.000 0.500 0.125
Pd 0.000 0.500 0.375
Pd 0.000 0.500 0.625
Pd 0.000 0.500 0.875

Summary:
- Uncorrected energy: -5.09 eV per atom
- E_form: -3.02 eV per formula unit
- Symmetry: P4/mmm
- Density: 10515 kg/m3

What did the sixth record say?
Entry from Alexandria via LeMat-Bulk: an optimized crystal structure of AlCu3Pd12 (GGA-PBE).

Cell: 3.900 3.900 15.522 Å, 90.00 90.00 90.00°
Element x y z (fractional)
Al 0.000 0.000 0.000
Cu 0.000 0.000 0.250
Cu 0.000 0.000 0.500
Cu 0.000 0.000 0.750
Pd 0.500 0.500 0.000
Pd 0.500 0.500 0.250
Pd 0.500 0.500 0.500
Pd 0.500 0.500 0.750
Pd 0.500 0.000 0.125
Pd 0.500 0.000 0.375
Pd 0.500 0.000 0.625
Pd 0.500 0.000 0.875
Pd 0.000 0.500 0.125
Pd 0.000 0.500 0.375
Pd 0.000 0.500 0.625
Pd 0.000 0.500 0.875

Summary:
- Uncorrected energy: -5.09 eV per atom
- E_form: -3.02 eV per formula unit
- Symmetry: P4/mmm
- Density: 10515 kg/m3

> The highest uncorrected energy belongs to which entry?

Al7Cu2Pd2

> What is the uncorrected energy in the sixth record?

-5.09 eV per atom

> Look up the E_form of the sixth one.

-3.02 eV per formula unit